A relaxed Ca2SiRh crystal, computed with PBE-GGA.

a b c (Å): 10.8657 3.8093 4.9599
angles (deg): 90.00 116.96 90.00
With the nearest neighbours (Å) after each atom.
Space group Cm (No. 8)
Unique sites:
1 Ca 0.0000 0.0000 0.0000 [2 per cell]  4 Rh 3.15-3.46, 4 Ca 3.18-3.43, 4 Si 3.20
2 Ca 0.2058 0.0000 0.7048 [2 per cell]  4 Ca 3.18-3.43, 4 Rh 3.25-3.26, 4 Si 3.28-3.31
3 Si 0.4301 0.0000 0.4301 [2 per cell]  2 Rh 2.29
4 Rh 0.2986 0.5000 0.2977 [2 per cell]  2 Si 2.29

Calculated values
- M_tot: 0.0 μB per formula unit
- Electronic total energy: -0.344 Ry/atom